(1)
{"formula": "Sm4ErTm2Sc", "functional": "GGA-PBE", "state": "relaxed", "magnetic_moment_mub_per_fu": 0.00, "dos_at_fermi_per_ev_cell": 10.2, "ef_kj_per_mol_fu": 26, "lattice_angstrom": [[-1.665, -0.663, 3.060], [-4.497, -2.823, -3.059], [4.094, -10.861, -0.126]], "species": ["Sm", "Sm", "Sm", "Sm", "Sc", "Tm", "Tm", "Er"], "frac_coords": [[0.000, 0.250, 0.252], [0.500, 0.254, 0.744], [0.500, 0.746, 0.256], [0.000, 0.750, 0.748], [0.000, 0.500, 0.500], [0.500, 0.000, 0.500], [0.000, 0.000, 0.000], [0.500, 0.500, 0.000]]}

=====

(2)
{"formula": "BaTlInRe2", "functional": "GGA-PBE", "state": "relaxed", "magnetic_moment_mub_per_fu": 4.07, "dos_at_fermi_per_ev_cell": 5.1, "ef_kj_per_mol_fu": 1321, "lattice_angstrom": [[-1.814, 2.376, -4.360], [3.268, -3.844, -3.454], [-4.083, -3.355, -0.130]], "species": ["Re", "Ba", "Re", "In", "Tl"], "frac_coords": [[0.000, 0.000, 0.500], [0.000, 0.000, 0.000], [0.500, 0.000, 0.000], [0.500, 0.500, 0.500], [0.000, 0.500, 0.000]]}

=====

(3)
{"formula": "MgCd2Co", "functional": "GGA-PBE", "state": "relaxed", "magnetic_moment_mub_per_fu": 1.10, "dos_at_fermi_per_ev_cell": 3.6, "ef_kj_per_mol_fu": 71, "lattice_angstrom": [[4.652, 0.000, 0.000], [2.326, 4.029, 0.000], [2.326, 1.343, 3.798]], "species": ["Cd", "Cd", "Mg", "Co"], "frac_coords": [[0.000, 0.000, 0.000], [0.250, 0.250, 0.250], [0.750, 0.750, 0.750], [0.500, 0.500, 0.500]]}

=====

(4)
{"formula": "YRu3", "functional": "GGA-PBE", "state": "relaxed", "magnetic_moment_mub_per_fu": 5.02, "dos_at_fermi_per_ev_cell": 4.5, "ef_kj_per_mol_fu": 1091, "lattice_angstrom": [[5.016, 0.000, 0.000], [0.000, 5.016, 0.000], [0.000, 0.000, 5.016]], "species": ["Ru", "Y", "Ru", "Ru"], "frac_coords": [[0.000, 0.000, 0.500], [0.000, 0.000, 0.000], [0.000, 0.500, 0.000], [0.500, 0.000, 0.000]]}

=====

(5)
{"formula": "La3P2RuN6", "functional": "GGA-PBE", "state": "relaxed", "magnetic_moment_mub_per_fu": 0.60, "dos_at_fermi_per_ev_cell": 7.8, "e_form_raw_ev_per_atom": -0.8497, "lattice_angstrom": [[-3.541, -3.673, -2.134], [4.252, -1.728, 3.085], [-3.667, 0.452, 5.308]], "species": ["La", "P", "La", "N", "N", "N", "N", "N", "P", "Ru", "La", "N"], "frac_coords": [[0.667, 0.333, 0.347], [0.667, 0.333, 0.805], [0.000, 0.000, 0.000], [0.345, 0.173, 0.704], [0.173, 0.827, 0.296], [0.655, 0.827, 0.296], [0.827, 0.655, 0.704], [0.173, 0.345, 0.296], [0.333, 0.667, 0.195], [0.000, 0.000, 0.500], [0.333, 0.667, 0.653], [0.827, 0.173, 0.704]]}

=====

(6)
{"formula": "LaAl2Os", "functional": "GGA-PBE", "state": "relaxed", "magnetic_moment_mub_per_fu": 0.00, "dos_at_fermi_per_ev_cell": 18.1, "ef_kj_per_mol_fu": -188, "lattice_angstrom": [[-1.341, 5.658, -1.174], [-6.990, -1.524, 0.640], [0.665, 3.288, 15.090]], "species": ["Al", "La", "Al", "Al", "Os", "La", "La", "Os", "Os", "La", "Al", "Os", "Al", "Al", "Al", "La", "Os", "Al", "Al", "Al", "Os", "Al", "La", "La", "Al", "Os", "Al", "Os", "Al", "Al", "Al", "La"], "frac_coords": [[0.796, 0.934, 0.052], [0.532, 0.750, 0.865], [0.296, 0.434, 0.448], [0.048, 0.548, 0.792], [0.495, 0.250, 0.571], [0.968, 0.750, 0.365], [0.721, 0.250, 0.907], [0.792, 0.750, 0.695], [0.208, 0.250, 0.305], [0.279, 0.750, 0.093], [0.952, 0.048, 0.208], [0.005, 0.250, 0.071], [0.204, 0.434, 0.948], [0.548, 0.048, 0.708], [0.452, 0.548, 0.292], [0.221, 0.750, 0.593], [0.708, 0.750, 0.195], [0.296, 0.066, 0.448], [0.796, 0.566, 0.052], [0.704, 0.566, 0.552], [0.995, 0.750, 0.929], [0.952, 0.452, 0.208], [0.468, 0.250, 0.135], [0.032, 0.250, 0.635], [0.048, 0.952, 0.792], [0.292, 0.250, 0.805], [0.704, 0.934, 0.552], [0.505, 0.750, 0.429], [0.204, 0.066, 0.948], [0.548, 0.452, 0.708], [0.452, 0.952, 0.292], [0.779, 0.250, 0.407]]}